No. 1
The following is a DFT calculation (PBE-GGA) of TiVIn2 after structural relaxation.

Computed properties:
Polymorph energy (0 for the lowest one), kJ/mol of atoms: 39.33
Energy relative to the elements, eV/atom: 0.46
Spin magnetization, μB per formula unit: 0.003
Total energy, eV per atom: -5.160

Cell: 7.5073 7.5073 6.0303 Å, 51.50 51.50 90.00°
With the nearest neighbours (Å) after each atom.
Fractional coordinates of all 8 atoms:
In  0.8750  0.8843  0.7500  2 V 2.70, 2 Ti 2.80, 2 In 2.86
In  0.1157  0.6250  0.2500  2 V 2.70, 2 Ti 2.80, 2 In 2.86
In  0.3750  0.3657  0.7500  2 V 2.70, 2 Ti 2.80, 2 In 2.86
In  0.6343  0.1250  0.2500  2 V 2.70, 2 Ti 2.80, 2 In 2.86
Ti  0.5000  0.5000  0.0000  4 In 2.80, 2 V 2.86
Ti  0.2500  0.7500  0.5000  4 In 2.80, 2 V 2.86
V  0.0000  0.0000  0.0000  4 In 2.70, 2 Ti 2.86
V  0.7500  0.2500  0.5000  4 In 2.70, 2 Ti 2.86

=====

No. 2
The following is a DFT calculation (PBE-GGA) of BaCoP2 after structural relaxation.

Computed properties:
Polymorph energy (0 for the lowest one), kJ/mol of atoms: 0.00
Energy relative to the elements, eV/atom: -0.61
Spin magnetization, μB per formula unit: 0.000
Total energy, eV per atom: -5.570

Cell: 4.9986 4.9986 7.9807 Å, 71.75 71.75 90.00°
With the nearest neighbours (Å) after each atom.
Fractional coordinates of all 8 atoms:
P  0.3750  0.6251  0.7500  2 Co 2.18
P  0.3749  0.1250  0.2500  2 Co 2.18
P  0.8750  0.6249  0.7500  2 Co 2.18
P  0.3751  0.6250  0.2500  2 Co 2.18
Co  0.2500  0.7500  0.5000  4 P 2.18
Co  0.5000  0.5000  0.0000  4 P 2.18
Ba  0.7500  0.2500  0.5000  8 P 3.32, 4 Co 3.53
Ba  0.0000  0.0000  0.0000  8 P 3.32, 4 Co 3.53

=====

No. 3
The following is a DFT calculation (PBE-GGA) of AcDyHg after structural relaxation.

Computed properties:
Polymorph energy (0 for the lowest one), kJ/mol of atoms: 0.00
Energy relative to the elements, eV/atom: -0.32
Spin magnetization, μB per formula unit: 0.000
Total energy, eV per atom: -3.329

Cell: 5.0253 5.0254 7.9381 Å, 90.01 90.01 90.00°
With the nearest neighbours (Å) after each atom.
Fractional coordinates of all 6 atoms:
Ac  0.3136  0.3665  0.2864  1 Hg 3.21
Ac  0.8135  0.8664  0.5528  1 Hg 3.21
Hg  0.8137  0.8666  0.1490  4 Dy 3.10, 1 Ac 3.21
Hg  0.3135  0.3664  0.6902  4 Dy 3.10, 1 Ac 3.21
Dy  0.8136  0.3665  0.9196  4 Hg 3.10
Dy  0.3136  0.8665  0.9196  4 Hg 3.10

=====

No. 4
The following is a DFT calculation (PBE-GGA) of Nd4GaSn after structural relaxation.

Computed properties:
Polymorph energy (0 for the lowest one), kJ/mol of atoms: 0.00
Energy relative to the elements, eV/atom: -0.42
Spin magnetization, μB per formula unit: 0.001
Total energy, eV per atom: -4.767

Cell: 10.1593 10.1593 10.1593 Å, 60.00 60.00 60.00°
With the nearest neighbours (Å) after each atom.
Fractional coordinates of all 24 atoms:
Nd  0.1976  0.8024  0.1976  2 Ga 3.02
Nd  0.9388  0.5612  0.5612  2 Sn 3.30, 2 Ga 3.65, 2 Nd 3.66
Nd  0.3614  0.9157  0.3614  3 Ga 3.13, 3 Sn 3.42
Nd  0.9388  0.5612  0.9388  2 Sn 3.30, 2 Ga 3.65, 2 Nd 3.66
Nd  0.9157  0.3614  0.3614  3 Ga 3.13, 3 Sn 3.42
Nd  0.3614  0.3614  0.9157  3 Ga 3.13, 3 Sn 3.42
Nd  0.8024  0.1976  0.8024  2 Ga 3.02
Nd  0.8024  0.1976  0.1976  2 Ga 3.02
Nd  0.8024  0.8024  0.1976  2 Ga 3.02
Nd  0.5612  0.9388  0.5612  2 Sn 3.30, 2 Ga 3.65, 2 Nd 3.66
Nd  0.9388  0.9388  0.5612  2 Sn 3.30, 2 Ga 3.65, 2 Nd 3.66
Nd  0.3614  0.3614  0.3614  3 Ga 3.13, 3 Sn 3.42
Nd  0.5612  0.9388  0.9388  2 Sn 3.30, 2 Ga 3.65, 2 Nd 3.66
Nd  0.1976  0.1976  0.8024  2 Ga 3.02
Nd  0.1976  0.8024  0.8024  2 Ga 3.02
Nd  0.5612  0.5612  0.9388  2 Sn 3.30, 2 Ga 3.65, 2 Nd 3.66
Sn  0.5890  0.5890  0.2329  9 Nd 3.30-3.56, 3 Sn 3.62
Sn  0.2329  0.5890  0.5890  9 Nd 3.30-3.56, 3 Sn 3.62
Sn  0.5890  0.5890  0.5890  9 Nd 3.30-3.56, 3 Sn 3.62
Sn  0.5890  0.2329  0.5890  9 Nd 3.30-3.56, 3 Sn 3.62
Ga  0.5696  0.1435  0.1435  6 Nd 3.02-3.13
Ga  0.1435  0.1435  0.1435  6 Nd 3.02-3.13
Ga  0.1435  0.5696  0.1435  6 Nd 3.02-3.13
Ga  0.1435  0.1435  0.5696  6 Nd 3.02-3.13

=====

No. 5
The following is a DFT calculation (PBE-GGA) of ScCd3Os after structural relaxation.

Computed properties:
Polymorph energy (0 for the lowest one), kJ/mol of atoms: 102.03
Energy relative to the elements, eV/atom: 1.82
Spin magnetization, μB per formula unit: 2.421
Total energy, eV per atom: -2.245

Cell: 5.3583 5.3583 5.3583 Å, 90.00 90.00 90.00°
With the nearest neighbours (Å) after each atom.
Fractional coordinates of all 5 atoms:
Cd  0.0000  0.5000  0.0000  2 Sc 2.68
Cd  0.0000  0.0000  0.5000  2 Sc 2.68
Cd  0.5000  0.0000  0.0000  2 Sc 2.68
Os  0.5000  0.5000  0.5000  12 Cd 3.79
Sc  0.0000  0.0000  0.0000  6 Cd 2.68

=====

No. 6
The following is a DFT calculation (PBE-GGA) of KVFeNi2 after structural relaxation.

Computed properties:
Energy relative to the elements, eV/atom: 2.41
Spin magnetization, μB per formula unit: 7.099
Total energy, eV per atom: -3.640

Cell: 4.4591 4.4591 4.5679 Å, 90.00 90.00 90.00°
With the nearest neighbours (Å) after each atom.
Fractional coordinates of all 5 atoms:
Ni  0.0000  0.5000  0.0000  2 K 2.23
Ni  0.5000  0.0000  0.0000  2 K 2.23
K  0.0000  0.0000  0.0000  4 Ni 2.23, 2 V 2.28
Fe  0.5000  0.5000  0.5000  4 V 3.15, 8 Ni 3.19
V  0.0000  0.0000  0.5000  2 K 2.28

=====

No. 7
The following is a DFT calculation (PBE-GGA) of BaLiReBi2 after structural relaxation.

Computed properties:
Energy relative to the elements, eV/atom: 0.16
Spin magnetization, μB per formula unit: 0.000
Total energy, eV per atom: -4.653

Cell: 5.3793 5.2024 5.3793 Å, 90.00 90.00 90.00°
With the nearest neighbours (Å) after each atom.
Fractional coordinates of all 5 atoms:
Li  0.0000  0.5000  0.0000  2 Re 2.60
Bi  0.5000  0.0000  0.0000  2 Re 2.69
Bi  0.0000  0.0000  0.5000  2 Re 2.69
Re  0.0000  0.0000  0.0000  2 Li 2.60, 4 Bi 2.69
Ba  0.5000  0.5000  0.5000  8 Bi 3.74, 4 Li 3.80

=====

No. 8
The following is a DFT calculation (PBE-GGA) of CsErPb5 after structural relaxation.

Computed properties:
Energy relative to the elements, eV/atom: -0.20
Spin magnetization, μB per formula unit: 0.000
Total energy, eV per atom: -3.619

Cell: 4.6861 4.6861 11.8314 Å, 90.00 90.00 90.00°
With the nearest neighbours (Å) after each atom.
Fractional coordinates of all 7 atoms:
Cs  0.0000  0.0000  0.5000  8 Pb 4.09
Pb  0.0000  0.0000  0.0000  4 Er 3.31, 8 Pb 3.48
Pb  0.5000  0.0000  0.2169  6 Pb 3.31-3.48, 2 Er 3.48
Pb  0.5000  0.0000  0.7831  6 Pb 3.31-3.48, 2 Er 3.48
Pb  0.0000  0.5000  0.2169  6 Pb 3.31-3.48, 2 Er 3.48
Pb  0.0000  0.5000  0.7831  6 Pb 3.31-3.48, 2 Er 3.48
Er  0.5000  0.5000  0.0000  12 Pb 3.31-3.48